The following is a PBE calculation of crystalline Mo3As at its relaxed geometry, from Alexandria.

Computed properties:
Formation energy from the elements ... 184 meV per atom
N(E_F) ... 2.3 states/eV/f.u.
Uncorrected energy ... -0.3345 hartree per atom
ΔE to the lowest computed polymorph ... 18.5 kJ per mole of atoms

```
data_Mo3As
_symmetry_space_group_name_H-M 'P 63/m m c'
_symmetry_Int_Tables_number 194
_symmetry_space_group_name_Hall '-P 6c 2c'
_cell_length_a 5.4242
_cell_length_b 5.4242
_cell_length_c 9.7852
_cell_angle_alpha 90.00
_cell_angle_beta 90.00
_cell_angle_gamma 120.00
loop_
_atom_site_label
_atom_site_fract_x
_atom_site_fract_y
_atom_site_fract_z
_atom_site_occupancy
Mo1 0.0000 0.5000 0.0000 1
Mo2 0.1670 0.3341 0.2500 1
As1 0.0000 0.0000 0.0000 1
As2 0.3333 0.6667 0.7500 1
```

The following is a PBE calculation of crystalline Mo3As at its relaxed geometry, from Alexandria.

Computed properties:
Formation energy from the elements ... 111 meV per atom
N(E_F) ... 2.6 states/eV/f.u.
Uncorrected energy ... -0.3372 hartree per atom
ΔE to the lowest computed polymorph ... 11.4 kJ per mole of atoms

```
data_Mo3As
_symmetry_space_group_name_H-M 'P m m 2'
_symmetry_Int_Tables_number 25
_cell_length_a 3.186
_cell_length_b 4.555
_cell_length_c 4.310
_cell_angle_alpha 90.00
_cell_angle_beta 90.00
_cell_angle_gamma 90.00
loop_
_symmetry_equiv_pos_as_xyz
'x,y,z'
'-x,-y,z'
'-x,y,z'
'x,-y,z'
loop_
_atom_site_label
_atom_site_fract_x
_atom_site_fract_y
_atom_site_fract_z
_atom_site_occupancy
Mo1 0.000 0.000 0.000 1
Mo2 0.000 0.500 0.399 1
Mo3 0.500 0.500 0.880 1
As1 0.500 0.000 0.479 1
```

The following is a PBE calculation of crystalline MoAs5 at its relaxed geometry, from Alexandria.

Computed properties:
Formation energy from the elements ... 168 meV per atom
N(E_F) ... 3.4 states/eV/f.u.
Uncorrected energy ... -0.2026 hartree per atom
ΔE to the lowest computed polymorph ... 10.2 kJ per mole of atoms

```
data_MoAs5
_symmetry_space_group_name_H-M 'A m m 2'
_symmetry_Int_Tables_number 38
_cell_length_a 4.830
_cell_length_b 3.309
_cell_length_c 15.347
_cell_angle_alpha 90.00
_cell_angle_beta 90.00
_cell_angle_gamma 90.00
loop_
_symmetry_equiv_pos_as_xyz
'x,y,z'
'-x,-y,z'
'-x,y,z'
'x,-y,z'
'x,y+1/2,z+1/2'
'-x,-y+1/2,z+1/2'
'-x,y+1/2,z+1/2'
'x,-y+1/2,z+1/2'
loop_
_atom_site_label
_atom_site_fract_x
_atom_site_fract_y
_atom_site_fract_z
_atom_site_occupancy
Mo1 0.000 0.000 0.000 1
As1 0.000 0.000 0.362 1
As2 0.000 0.000 0.632 1
As3 0.500 0.000 0.067 1
As4 0.500 0.000 0.430 1
As5 0.500 0.000 0.703 1
```

The following is a PBE calculation of crystalline MoAs3 at its relaxed geometry, from Alexandria.

Computed properties:
Formation energy from the elements ... 494 meV per atom
N(E_F) ... 6.0 states/eV/f.u.
Uncorrected energy ... -0.2095 hartree per atom
ΔE to the lowest computed polymorph ... 49.5 kJ per mole of atoms

```
data_MoAs3
_symmetry_space_group_name_H-M 'P m -3 m'
_symmetry_Int_Tables_number 221
_symmetry_space_group_name_Hall '-P 4 2 3'
_cell_length_a 4.901
_cell_length_b 4.901
_cell_length_c 4.901
_cell_angle_alpha 90.00
_cell_angle_beta 90.00
_cell_angle_gamma 90.00
loop_
_atom_site_label
_atom_site_fract_x
_atom_site_fract_y
_atom_site_fract_z
_atom_site_occupancy
Mo1 0.000 0.000 0.000 1
As1 0.000 0.000 0.500 1
```